(1)
! TiV2Ge4 PBE-GGA relaxed; values from VASP
&SYSTEM
  ibrav = 0, nat = 14, ntyp = 3
/
ATOMIC_SPECIES
Ti 47.87 Ti.upf
V 50.94 V.upf
Ge 72.64 Ge.upf
CELL_PARAMETERS angstrom
4.8010 0.0000 0.0000
0.0000 4.8010 0.0000
0.0000 0.0000 12.3390
ATOMIC_POSITIONS crystal
Ti 0.0000 0.0000 0.0000
Ti 0.5000 0.5000 0.5000
V 0.0000 0.0000 0.4128
V 0.0000 0.0000 0.5872
V 0.5000 0.5000 0.0872
V 0.5000 0.5000 0.9128
Ge 0.0000 0.0000 0.2032
Ge 0.0000 0.0000 0.7968
Ge 0.0000 0.5000 0.0000
Ge 0.0000 0.5000 0.5000
Ge 0.5000 0.0000 0.0000
Ge 0.5000 0.0000 0.5000
Ge 0.5000 0.5000 0.2968
Ge 0.5000 0.5000 0.7032
! - Space-group type: I4/mmm
! - E: -42.051 eV/f.u.
! - M_tot: 0.000 Bohr magnetons per cell
! - ΔE_f: 364 meV per atom
! - DOS at the Fermi energy: 7.19 states/eV/f.u.

(2)
! Ti2VGe2 PBE-GGA relaxed; values from VASP
&SYSTEM
  ibrav = 0, nat = 10, ntyp = 3
/
ATOMIC_SPECIES
Ti 47.87 Ti.upf
V 50.94 V.upf
Ge 72.64 Ge.upf
CELL_PARAMETERS angstrom
6.6093 0.0000 0.0000
0.0000 6.6093 0.0000
0.0000 0.0000 3.5478
ATOMIC_POSITIONS crystal
Ti 0.1694 0.3306 0.0000
Ti 0.3306 0.8306 0.0000
Ti 0.6694 0.1694 0.0000
Ti 0.8306 0.6694 0.0000
V 0.0000 0.0000 0.5000
V 0.5000 0.5000 0.5000
Ge 0.1352 0.6352 0.5000
Ge 0.3648 0.1352 0.5000
Ge 0.6352 0.8648 0.5000
Ge 0.8648 0.3648 0.5000
! - Space-group type: P4/mbm
! - E: -36.910 eV/f.u.
! - M_tot: 0.000 Bohr magnetons per cell
! - ΔE_f: -553 meV per atom
! - Energy above the lowest structure with this stoichiometry: 0.0 meV/atom
! - DOS at the Fermi energy: 3.75 states/eV/f.u.

(3)
! Ti4VGe3 PBE-GGA relaxed; values from VASP
&SYSTEM
  ibrav = 0, nat = 16, ntyp = 3
/
ATOMIC_SPECIES
Ti 47.87 Ti.upf
V 50.94 V.upf
Ge 72.64 Ge.upf
CELL_PARAMETERS angstrom
-4.9778 4.9778 2.5095
4.9778 -4.9778 2.5095
4.9778 4.9778 -2.5095
ATOMIC_POSITIONS crystal
Ti 0.0796 0.7775 0.8571
Ti 0.2225 0.0796 0.3020
Ti 0.2775 0.5796 0.8571
Ti 0.4204 0.2775 0.6980
Ti 0.5796 0.7225 0.3020
Ti 0.7225 0.4204 0.1429
Ti 0.7775 0.9204 0.6980
Ti 0.9204 0.2225 0.1429
V 0.2500 0.7500 0.5000
V 0.7500 0.2500 0.5000
Ge 0.1584 0.3416 0.5000
Ge 0.2500 0.2500 0.0000
Ge 0.3416 0.8416 0.1833
Ge 0.6584 0.1584 0.8167
Ge 0.7500 0.7500 0.0000
Ge 0.8416 0.6584 0.5000
! - Space-group type: I4/mcm
! - E: -59.674 eV/f.u.
! - M_tot: 0.000 Bohr magnetons per cell
! - ΔE_f: -640 meV per atom
! - DOS at the Fermi energy: 6.98 states/eV/f.u.

(4)
! TiV2Ge2 PBE-GGA relaxed; values from VASP
&SYSTEM
  ibrav = 0, nat = 10, ntyp = 3
/
ATOMIC_SPECIES
Ti 47.87 Ti.upf
V 50.94 V.upf
Ge 72.64 Ge.upf
CELL_PARAMETERS angstrom
7.4269 0.0000 0.0000
0.0000 7.4269 0.0000
0.0000 0.0000 2.7365
ATOMIC_POSITIONS crystal
Ti 0.0000 0.0000 0.0000
Ti 0.5000 0.5000 0.0000
V 0.1163 0.3837 0.0000
V 0.3837 0.8837 0.0000
V 0.6163 0.1163 0.0000
V 0.8837 0.6163 0.0000
Ge 0.1800 0.6800 0.5000
Ge 0.3200 0.1800 0.5000
Ge 0.6800 0.8200 0.5000
Ge 0.8200 0.3200 0.5000
! - Space-group type: P4/mbm
! - E: -35.865 eV/f.u.
! - M_tot: 0.949 Bohr magnetons per cell
! - ΔE_f: -100 meV per atom
! - Energy above the lowest structure with this stoichiometry: 285.9 meV/atom
! - DOS at the Fermi energy: 5.64 states/eV/f.u.